Entry from the Alexandria database: a geometry-optimized HoTh2Pd9 structure (PBE).

Results
N(E_F): 1.43 states/eV/f.u.
ΔH_f (0 K): -0.9595 eV per atom
Size of the total moment: 0.00 μB per atom

Cell: 4.188 4.188 12.522 Å, 90.00 90.00 90.00°
Sites, in units of the cell vectors:
Pd 0.500 0.500 0.667
Pd 0.500 0.500 0.000
Pd 0.500 0.000 0.164
Pd 0.000 0.500 0.836
Pd 0.500 0.500 0.333
Pd 0.500 0.000 0.500
Pd 0.000 0.500 0.500
Pd 0.500 0.000 0.836
Th 0.000 0.000 0.328
Ho 0.000 0.000 0.000
Th 0.000 0.000 0.672
Pd 0.000 0.500 0.164

=====

Entry from the Alexandria database: a geometry-optimized BaNbPb structure (PBE).

Results
ΔE to the lowest computed polymorph: 193 meV/atom
N(E_F): 2.76 states/eV/f.u.
ΔH_f (0 K): 0.2108 eV per atom
Size of the total moment: 0.00 μB per atom

Cell: 8.601 4.661 12.940 Å, 90.00 128.77 90.00°
Sites, in units of the cell vectors:
Ba 0.941 0.500 0.728
Pb 0.077 0.000 0.995
Nb 0.418 0.000 0.561
Pb 0.237 0.500 0.203
Nb 0.398 0.000 0.978
Ba 0.639 0.500 0.867
Nb 0.418 0.500 0.061
Ba 0.941 0.000 0.228
Pb 0.237 0.000 0.703
Nb 0.398 0.500 0.478
Pb 0.077 0.500 0.495
Ba 0.639 0.000 0.367